VASP calculation (GGA-PBE) on TbTm2Ga3AgPt2 after structural relaxation.

Cell and atoms, written as CIF:
```
data_TbTm2Ga3AgPt2
_cell_length_a 3.690
_cell_length_b 13.002
_cell_length_c 7.480
_cell_angle_alpha 90.00
_cell_angle_beta 90.00
_cell_angle_gamma 90.00
_space_group_name_H-M_alt 'A m m 2'
_space_group_IT_number 38
loop_
_space_group_symop_operation_xyz
'x,y,z'
'-x,-y,z'
'-x,y,z'
'x,-y,z'
'x,y+1/2,z+1/2'
'-x,-y+1/2,z+1/2'
'-x,y+1/2,z+1/2'
'x,-y+1/2,z+1/2'
loop_
_atom_site_label
_atom_site_fract_x
_atom_site_fract_y
_atom_site_fract_z
Tb1 0.000 0.000 0.000
Tm1 0.000 0.204 0.388
Ga1 0.500 0.000 0.322
Ga2 0.500 0.136 0.727
Ag1 0.000 0.000 0.590
Pt1 0.500 0.169 0.093
```

Its magnetic moment is 0.00 μB per cell. The calculation puts the volume at 19.94 Å³ per atom. Its crystal system is orthorhombic. For the total energy, the calculation gives -5.074 eV per atom.

=====

VASP calculation (GGA-PBE) on YTm2Ga3AgPt2 after structural relaxation.

Cell and atoms, written as CIF:
```
data_YTm2Ga3AgPt2
_cell_length_a 3.680
_cell_length_b 13.018
_cell_length_c 7.481
_cell_angle_alpha 90.00
_cell_angle_beta 90.00
_cell_angle_gamma 90.00
_space_group_name_H-M_alt 'A m m 2'
_space_group_IT_number 38
loop_
_space_group_symop_operation_xyz
'x,y,z'
'-x,-y,z'
'-x,y,z'
'x,-y,z'
'x,y+1/2,z+1/2'
'-x,-y+1/2,z+1/2'
'-x,y+1/2,z+1/2'
'x,-y+1/2,z+1/2'
loop_
_atom_site_label
_atom_site_fract_x
_atom_site_fract_y
_atom_site_fract_z
Y1 0.000 0.000 0.000
Tm1 0.000 0.204 0.610
Ga1 0.500 0.000 0.679
Ga2 0.500 0.136 0.271
Ag1 0.000 0.000 0.409
Pt1 0.500 0.169 0.905
```

Its magnetic moment is 0.00 μB per cell. The calculation puts the volume at 19.91 Å³ per atom. Its crystal system is orthorhombic. For the total energy, the calculation gives -5.279 eV per atom.